The following is a DFT calculation (GGA-PBE) of HfSb3N after structural relaxation.

Cell and atoms, written as POSCAR:
```
HfSb3N
1.0
4.6788 0.0000 0.0000
0.0000 4.6788 0.0000
0.0000 0.0000 4.6788
Hf Sb N
1 3 1
Direct
0.0000 0.0000 0.0000
0.0000 0.5000 0.5000
0.5000 0.0000 0.5000
0.5000 0.5000 0.0000
0.5000 0.5000 0.5000
```

Properties
Space group: Pm-3m, No. 221
Calculated volume, Å³/cell: 102
Total DFT energy (no corrections), eV per atom: -5.756
Crystal system: cubic